La5Si3 | GGA-PBEsol | relaxed

Cell: 8.8690 8.8690 6.6866 Å, 90.00 90.00 120.00°
Closest atoms and distances in Å follow each position.
Element x y z (fractional)
1 La 0.0000 0.2550 0.2500  3 Si 3.04-3.15
2 La 0.0000 0.7450 0.7500  3 Si 3.04-3.15
3 La 0.2550 0.0000 0.2500  3 Si 3.04-3.15
4 La 0.2550 0.2550 0.7500  3 Si 3.04-3.15
5 La 0.3333 0.6667 0.0000  6 Si 3.21, 2 La 3.34
6 La 0.3333 0.6667 0.5000  6 Si 3.21, 2 La 3.34
7 La 0.6667 0.3333 0.0000  6 Si 3.21, 2 La 3.34
8 La 0.6667 0.3333 0.5000  6 Si 3.21, 2 La 3.34
9 La 0.7450 0.0000 0.7500  3 Si 3.04-3.15
10 La 0.7450 0.7450 0.2500  3 Si 3.04-3.15
11 Si 0.0000 0.3901 0.7500  7 La 3.04-3.21
12 Si 0.0000 0.6099 0.2500  7 La 3.04-3.21
13 Si 0.3901 0.0000 0.7500  7 La 3.04-3.21
14 Si 0.3901 0.3901 0.2500  7 La 3.04-3.21
15 Si 0.6099 0.0000 0.2500  7 La 3.04-3.21
16 Si 0.6099 0.6099 0.7500  7 La 3.04-3.21

The density comes out at 5.7 g cm⁻³. As for the density of states at the Fermi level: 20.6 states/eV per cell. The calculation puts the total energy at -6.05 eV/atom. The calculation puts the relative energy among the computed polymorphs at 84 meV per atom.


La3Si | GGA-PBEsol | relaxed

Cell: 7.8928 9.5928 6.2503 Å, 90.00 90.00 90.00°
Closest atoms and distances in Å follow each position.
Element x y z (fractional)
1 La 0.0208 0.2500 0.1204  2 Si 3.11-3.17
2 La 0.1786 0.0484 0.6093  3 Si 3.07-3.16, 1 La 3.27
3 La 0.1786 0.4516 0.6093  3 Si 3.07-3.16, 1 La 3.27
4 La 0.3214 0.5484 0.1093  3 Si 3.07-3.16, 1 La 3.27
5 La 0.3214 0.9516 0.1093  3 Si 3.07-3.16, 1 La 3.27
6 La 0.4792 0.7500 0.6204  2 Si 3.11-3.17
7 La 0.5208 0.2500 0.3796  2 Si 3.11-3.17
8 La 0.6786 0.0484 0.8907  3 Si 3.07-3.16, 1 La 3.27
9 La 0.6786 0.4516 0.8907  3 Si 3.07-3.16, 1 La 3.27
10 La 0.8214 0.5484 0.3907  3 Si 3.07-3.16, 1 La 3.27
11 La 0.8214 0.9516 0.3907  3 Si 3.07-3.16, 1 La 3.27
12 La 0.9792 0.7500 0.8796  2 Si 3.11-3.17
13 Si 0.1239 0.7500 0.4070  8 La 3.07-3.17
14 Si 0.3761 0.2500 0.9070  8 La 3.07-3.17
15 Si 0.6239 0.7500 0.0930  8 La 3.07-3.17
16 Si 0.8761 0.2500 0.5930  8 La 3.07-3.17

The density comes out at 6.2 g cm⁻³. As for the density of states at the Fermi level: 19.2 states/eV per cell. The calculation puts the total energy at -5.85 eV/atom.


La2Si | GGA-PBEsol | relaxed

Cell: 6.3578 6.3578 6.5864 Å, 90.00 90.00 139.18°
Closest atoms and distances in Å follow each position.
Element x y z (fractional)
1 La 0.0011 0.9989 0.5000  4 Si 3.11-3.12, 2 La 3.29
2 La 0.2961 0.7039 0.7540  2 Si 3.04
3 La 0.7039 0.2961 0.2540  2 Si 3.04
4 La 0.9989 0.0011 0.0000  4 Si 3.11-3.12, 2 La 3.29
5 Si 0.3789 0.6211 0.2514  6 La 3.04-3.12
6 Si 0.6211 0.3789 0.7514  6 La 3.04-3.12

The density comes out at 5.8 g cm⁻³. As for the density of states at the Fermi level: 5.8 states/eV per cell. The calculation puts the total energy at -5.96 eV/atom.


La5Si3 | GGA-PBEsol | relaxed

Cell: 8.7892 8.7892 8.7892 Å, 126.44 126.44 79.16°
Closest atoms and distances in Å follow each position.
Element x y z (fractional)
1 La 0.0000 0.0000 0.0000  6 Si 3.20-3.39, 8 La 3.54
2 La 0.0312 0.5312 0.8599  5 Si 3.08-3.22, 1 La 3.16
3 La 0.1713 0.0312 0.5000  5 Si 3.08-3.22, 1 La 3.16
4 La 0.3287 0.8287 0.8599  5 Si 3.08-3.22, 1 La 3.16
5 La 0.4688 0.3287 0.5000  5 Si 3.08-3.22, 1 La 3.16
6 La 0.5000 0.5000 0.0000  6 Si 3.20-3.39, 8 La 3.54
7 La 0.5312 0.6713 0.5000  5 Si 3.08-3.22, 1 La 3.16
8 La 0.6713 0.1713 0.1401  5 Si 3.08-3.22, 1 La 3.16
9 La 0.8287 0.9688 0.5000  5 Si 3.08-3.22, 1 La 3.16
10 La 0.9688 0.4688 0.1401  5 Si 3.08-3.22, 1 La 3.16
11 Si 0.1124 0.3876 0.5000  1 Si 2.52
12 Si 0.2500 0.2500 0.0000  10 La 3.22-3.39
13 Si 0.3876 0.8876 0.2752  1 Si 2.52
14 Si 0.6124 0.1124 0.7248  1 Si 2.52
15 Si 0.7500 0.7500 0.0000  10 La 3.22-3.39
16 Si 0.8876 0.6124 0.5000  1 Si 2.52

The density comes out at 6.1 g cm⁻³. As for the density of states at the Fermi level: 14.2 states/eV per cell. The calculation puts the total energy at -6.13 eV/atom. The calculation puts the relative energy among the computed polymorphs at 0 meV per atom.